Record 1
# CsBiS2 | the Alexandria database | PBE | relaxed
# ΔE_f (raw): -0.662 eV per atom
# size of the total moment: 0.0 Bohr magnetons per cell
# total energy: -3.910 eV per atom
data_CsBiS2
_space_group_name_H-M_alt 'P 1'
_space_group_IT_number 1
_space_group_name_Hall 'P 1'
_cell_length_a 4.0870
_cell_length_b 4.1655
_cell_length_c 8.1220
_cell_angle_alpha 104.78
_cell_angle_beta 95.71
_cell_angle_gamma 90.81
loop_
_atom_site_label
_atom_site_type_symbol
_atom_site_fract_x
_atom_site_fract_y
_atom_site_fract_z
Cs1 Cs 0.0000 0.0000 0.0000
Bi1 Bi 0.8056 0.2524 0.4943
S1 S 0.4358 0.3667 0.7348
S2 S 0.5150 0.6586 0.3115

Record 2
# Cs5Bi2S5 | the Alexandria database | PBE | relaxed
# ΔE_f (raw): -0.815 eV per atom
# size of the total moment: 0.0 Bohr magnetons per cell
# total energy: -3.537 eV per atom
# density of states at the Fermi level: 1.21 states/eV per cell
data_Cs5Bi2S5
_space_group_name_H-M_alt 'P 1'
_space_group_IT_number 1
_space_group_name_Hall 'P 1'
_cell_length_a 7.9567
_cell_length_b 7.9567
_cell_length_c 13.2462
_cell_angle_alpha 105.26
_cell_angle_beta 105.26
_cell_angle_gamma 36.25
loop_
_atom_site_label
_atom_site_type_symbol
_atom_site_fract_x
_atom_site_fract_y
_atom_site_fract_z
Cs1 Cs 0.0000 0.0000 0.0000
Cs2 Cs 0.1574 0.1574 0.5580
Cs3 Cs 0.2632 0.2632 0.8619
Cs4 Cs 0.7368 0.7368 0.1381
Cs5 Cs 0.8426 0.8426 0.4420
Bi1 Bi 0.4676 0.4676 0.7085
Bi2 Bi 0.5324 0.5324 0.2915
S1 S 0.1234 0.1234 0.2832
S2 S 0.3942 0.3942 0.1228
S3 S 0.5000 0.5000 0.5000
S4 S 0.6058 0.6058 0.8772
S5 S 0.8766 0.8766 0.7168

Record 3
# CsBiS2 | the Alexandria database | PBE | relaxed
# ΔE_f (raw): -0.751 eV per atom
# size of the total moment: 0.0 Bohr magnetons per cell
# total energy: -3.998 eV per atom
data_CsBiS2
_space_group_name_H-M_alt 'P 1'
_space_group_IT_number 1
_space_group_name_Hall 'P 1'
_cell_length_a 8.5116
_cell_length_b 8.5116
_cell_length_c 8.5116
_cell_angle_alpha 28.65
_cell_angle_beta 28.65
_cell_angle_gamma 28.65
loop_
_atom_site_label
_atom_site_type_symbol
_atom_site_fract_x
_atom_site_fract_y
_atom_site_fract_z
Cs1 Cs 0.0000 0.0000 0.0000
Bi1 Bi 0.8315 0.8315 0.8315
S1 S 0.2282 0.2282 0.2282
S2 S 0.4349 0.4349 0.4349

Record 4
# CsBi6S8 | the Alexandria database | PBE | relaxed
# ΔE_f (raw): -0.313 eV per atom
# size of the total moment: 0.0 Bohr magnetons per cell
# total energy: -4.123 eV per atom
# density of states at the Fermi level: 3.79 states/eV per cell
data_CsBi6S8
_space_group_name_H-M_alt 'P 1'
_space_group_IT_number 1
_space_group_name_Hall 'P 1'
_cell_length_a 8.2073
_cell_length_b 8.2073
_cell_length_c 8.2073
_cell_angle_alpha 92.32
_cell_angle_beta 92.32
_cell_angle_gamma 92.32
loop_
_atom_site_label
_atom_site_type_symbol
_atom_site_fract_x
_atom_site_fract_y
_atom_site_fract_z
Cs1 Cs 0.0000 0.0000 0.0000
Bi1 Bi 0.2073 0.5627 0.4015
Bi2 Bi 0.4015 0.2073 0.5627
Bi3 Bi 0.4373 0.5985 0.7927
Bi4 Bi 0.5627 0.4015 0.2073
Bi5 Bi 0.5985 0.7927 0.4373
Bi6 Bi 0.7927 0.4373 0.5985
S1 S 0.1235 0.4142 0.6785
S2 S 0.2615 0.2615 0.2615
S3 S 0.3215 0.8765 0.5858
S4 S 0.4142 0.6785 0.1235
S5 S 0.5858 0.3215 0.8765
S6 S 0.6785 0.1235 0.4142
S7 S 0.7385 0.7385 0.7385
S8 S 0.8765 0.5858 0.3215

Record 5
# CsBi4S6 | the Alexandria database | PBE | relaxed
# ΔE_f (raw): -0.275 eV per atom
# size of the total moment: 0.0 Bohr magnetons per cell
# total energy: -4.015 eV per atom
# density of states at the Fermi level: 2.05 states/eV per cell
data_CsBi4S6
_space_group_name_H-M_alt 'P 1'
_space_group_IT_number 1
_space_group_name_Hall 'P 1'
_cell_length_a 7.8131
_cell_length_b 7.8131
_cell_length_c 7.8131
_cell_angle_alpha 123.43
_cell_angle_beta 123.43
_cell_angle_gamma 84.15
loop_
_atom_site_label
_atom_site_type_symbol
_atom_site_fract_x
_atom_site_fract_y
_atom_site_fract_z
Cs1 Cs 0.0000 0.0000 0.0000
Bi1 Bi 0.2060 0.5609 0.0000
Bi2 Bi 0.4391 0.4391 0.6451
Bi3 Bi 0.5609 0.2060 0.0000
Bi4 Bi 0.7940 0.7940 0.3549
S1 S 0.0000 0.5000 0.5000
S2 S 0.1314 0.1314 0.6543
S3 S 0.4771 0.4771 0.3457
S4 S 0.5000 0.0000 0.5000
S5 S 0.5229 0.8686 0.0000
S6 S 0.8686 0.5229 0.0000

Record 6
# CsBi2S | the Alexandria database | PBE | relaxed
# ΔE_f (raw): -0.010 eV per atom
# size of the total moment: 0.0 Bohr magnetons per cell
# total energy: -3.195 eV per atom
# density of states at the Fermi level: 9.58 states/eV per cell
data_CsBi2S
_space_group_name_H-M_alt 'P 1'
_space_group_IT_number 1
_space_group_name_Hall 'P 1'
_cell_length_a 7.5224
_cell_length_b 7.5224
_cell_length_c 7.5224
_cell_angle_alpha 101.11
_cell_angle_beta 101.11
_cell_angle_gamma 127.91
loop_
_atom_site_label
_atom_site_type_symbol
_atom_site_fract_x
_atom_site_fract_y
_atom_site_fract_z
Cs1 Cs 0.0000 0.0000 0.0000
Cs2 Cs 0.7500 0.2500 0.5000
Bi1 Bi 0.2166 0.6250 0.0916
Bi2 Bi 0.3750 0.4666 0.5916
Bi3 Bi 0.5334 0.1250 0.9084
Bi4 Bi 0.8750 0.7834 0.4084
S1 S 0.2500 0.7500 0.5000
S2 S 0.5000 0.5000 0.0000

- Among the records above, which one has the highest ΔE_f (raw)?
  CsBi2S

- Among the records above, which one has the lowest ΔE_f (raw)?
  Cs5Bi2S5

- Among the records above, which one has the highest ΔE_f (raw)?
  CsBi2S

- size of the total moment of number 6 (CsBi2S)?
  0.0 Bohr magnetons per cell